Material: CrIr2Au
Method: DFT, PBEsol
State: relaxed

Unit cell a=2.705 b=2.705 c=26.772 alpha=90.00 beta=90.00 gamma=120.00
Fractional coordinates of all 12 atoms:
Cr 0.000 0.000 0.000
Cr 0.333 0.667 0.667
Cr 0.667 0.333 0.333
Ir 0.000 0.000 0.493
Ir 0.000 0.000 0.741
Ir 0.333 0.667 0.159
Ir 0.333 0.667 0.408
Ir 0.667 0.333 0.074
Ir 0.667 0.333 0.826
Au 0.000 0.000 0.249
Au 0.333 0.667 0.916
Au 0.667 0.333 0.583

Output
Calculated formation energy in meV/atom: 168

Material: Sc2InH2
Method: DFT, PBEsol
State: relaxed

Unit cell a=3.523 b=3.523 c=10.924 alpha=90.00 beta=90.00 gamma=90.00
Fractional coordinates of all 10 atoms:
Sc 0.000 0.000 0.157
Sc 0.000 0.000 0.843
Sc 0.500 0.500 0.343
Sc 0.500 0.500 0.657
In 0.000 0.000 0.500
In 0.500 0.500 0.000
H 0.000 0.500 0.250
H 0.000 0.500 0.750
H 0.500 0.000 0.250
H 0.500 0.000 0.750

Material: Li3MgNiO4
Method: DFT, PBEsol
State: relaxed

Unit cell a=10.140 b=10.140 c=10.140 alpha=123.37 beta=123.37 gamma=84.26
Fractional coordinates of all 72 atoms:
Li 0.021 0.408 0.560
Li 0.039 0.479 0.888
Li 0.092 0.152 0.612
Li 0.155 0.047 0.084
Li 0.180 0.111 0.410
Li 0.201 0.770 0.090
Li 0.270 0.680 0.569
Li 0.348 0.461 0.940
Li 0.389 0.299 0.069
Li 0.429 0.345 0.392
Li 0.453 0.037 0.108
Li 0.463 0.071 0.416
Li 0.537 0.929 0.584
Li 0.547 0.963 0.892
Li 0.571 0.655 0.608
Li 0.611 0.701 0.931
Li 0.652 0.539 0.060
Li 0.730 0.320 0.431
Li 0.799 0.230 0.910
Li 0.820 0.889 0.590
Li 0.845 0.953 0.916
Li 0.908 0.848 0.388
Li 0.961 0.521 0.112
Li 0.979 0.592 0.440
Mg 0.079 0.226 0.936
Mg 0.209 0.857 0.436
Mg 0.274 0.709 0.853
Mg 0.357 0.421 0.647
Mg 0.643 0.579 0.353
Mg 0.726 0.291 0.147
Mg 0.791 0.143 0.564
Mg 0.921 0.774 0.064
Ni 0.076 0.325 0.274
Ni 0.175 0.950 0.751
Ni 0.301 0.576 0.251
Ni 0.450 0.199 0.774
Ni 0.550 0.801 0.226
Ni 0.699 0.424 0.749
Ni 0.825 0.050 0.249
Ni 0.924 0.675 0.726
O 0.005 0.963 0.336
O 0.018 0.847 0.982
O 0.092 0.781 0.499
O 0.093 0.592 0.811
O 0.127 0.669 0.164
O 0.169 0.505 0.542
O 0.218 0.407 0.999
O 0.243 0.238 0.355
O 0.262 0.116 0.004
O 0.281 0.282 0.689
O 0.347 0.864 0.829
O 0.364 0.035 0.518
O 0.384 0.888 0.145
O 0.388 0.743 0.504
O 0.463 0.627 0.958
O 0.465 0.482 0.329
O 0.535 0.518 0.671
O 0.537 0.373 0.042
O 0.612 0.257 0.496
O 0.616 0.112 0.855
O 0.636 0.965 0.482
O 0.653 0.136 0.171
O 0.719 0.718 0.311
O 0.738 0.884 0.996
O 0.757 0.762 0.645
O 0.782 0.593 0.001
O 0.831 0.495 0.458
O 0.873 0.331 0.836
O 0.907 0.408 0.189
O 0.908 0.219 0.501
O 0.982 0.153 0.018
O 0.995 0.037 0.664

Output
Formation energy from raw total energies in kcal/mol of atoms: -40.212

Number 1: total magnetic moment 0.000 μB per atom, density of states at the Fermi level 5.32 states/eV/f.u., uncorrected energy -99.418 eV/cell. Number 2: total magnetic moment 0.000 μB per atom, density of states at the Fermi level 1.49 states/eV/f.u., uncorrected energy -52.331 eV/cell. Number 3: total magnetic moment 0.112 μB per atom, density of states at the Fermi level 5.83 states/eV/f.u., uncorrected energy -403.726 eV/cell.